1.
{
  "formula": "PmMnO4",
  "functional": "PBE with a Hubbard U",
  "state": "optimized geometry",
  "crystal_system": "tetragonal",
  "final_energy_ev_per_atom": -7.39,
  "cell": [[-3.909, 1.971, 4.256], [-2.269, -3.595, -4.382], [4.132, -3.380, 2.962]],
  "species": ["O", "O", "Mn", "O", "O", "O", "O", "Pm", "Mn", "Pm", "O", "O"],
  "frac_coords": [[0.674, 0.495, 0.822], [0.076, 0.398, 0.322], [0.500, 0.500, 0.000], [0.505, 0.326, 0.178], [0.602, 0.924, 0.678], [0.076, 0.755, 0.678], [0.148, 0.326, 0.822], [0.000, 0.000, 0.000], [0.250, 0.750, 0.500], [0.750, 0.250, 0.500], [0.674, 0.852, 0.178], [0.245, 0.924, 0.322]]
}

=====

2.
{
  "formula": "Pm2MnO6",
  "functional": "PBE with a Hubbard U",
  "state": "optimized geometry",
  "crystal_system": "orthorhombic",
  "final_energy_ev_per_atom": -7.30,
  "cell": [[-3.467, -1.610, 1.594], [0.528, -4.289, -3.186], [4.305, 0.532, 4.522]],
  "species": ["Pm", "O", "O", "O", "Pm", "O", "O", "O", "Mn"],
  "frac_coords": [[0.322, 0.322, 0.644], [0.500, 0.133, 0.000], [0.500, 0.867, 0.000], [0.854, 0.607, 0.708], [0.678, 0.678, 0.356], [0.146, 0.899, 0.292], [0.854, 0.101, 0.708], [0.146, 0.393, 0.292], [0.000, 0.000, 0.000]]
}

=====

3.
{
  "formula": "Pm2Mn2O5",
  "functional": "PBE with a Hubbard U",
  "state": "optimized geometry",
  "crystal_system": "orthorhombic",
  "final_energy_ev_per_atom": -7.97,
  "cell": [[-4.118, 3.903, 1.475], [-4.055, -3.952, -0.862], [4.653, -2.168, 7.077]],
  "species": ["Mn", "O", "Pm", "Mn", "Pm", "O", "O", "O", "Mn", "Pm", "O", "O", "Pm", "O", "O", "O", "Mn", "O"],
  "frac_coords": [[0.212, 0.286, 0.500], [0.231, 0.729, 0.932], [0.875, 0.407, 0.772], [0.000, 0.001, 0.000], [0.398, 0.907, 0.772], [0.769, 0.797, 0.068], [0.799, 0.297, 0.068], [0.476, 0.272, 0.717], [0.788, 0.786, 0.500], [0.125, 0.635, 0.228], [0.524, 0.555, 0.283], [0.741, 0.772, 0.717], [0.602, 0.135, 0.228], [0.132, 0.655, 0.500], [0.201, 0.229, 0.932], [0.259, 0.055, 0.283], [0.500, 0.501, 0.000], [0.868, 0.155, 0.500]]
}

=====

4.
{
  "formula": "Pm5Mn2O12",
  "functional": "PBE with a Hubbard U",
  "state": "optimized geometry",
  "crystal_system": "monoclinic",
  "final_energy_ev_per_atom": -7.90,
  "cell": [[-4.615, -2.695, -2.493], [3.327, -3.750, 4.869], [-4.661, 4.491, 3.775]],
  "species": ["O", "Mn", "Pm", "O", "O", "O", "Pm", "Pm", "O", "Mn", "O", "Pm", "O", "O", "O", "O", "O", "O", "Pm"],
  "frac_coords": [[0.096, 0.693, 0.423], [0.755, 0.000, 0.000], [0.000, 0.000, 0.500], [0.500, 0.999, 0.172], [0.583, 0.684, 0.922], [0.403, 0.307, 0.577], [0.693, 0.386, 0.355], [0.306, 0.613, 0.163], [0.001, 0.001, 0.173], [0.245, 0.000, 0.000], [0.101, 0.684, 0.922], [0.694, 0.387, 0.837], [0.597, 0.693, 0.423], [0.500, 0.001, 0.828], [0.417, 0.316, 0.078], [0.899, 0.316, 0.078], [0.904, 0.307, 0.577], [0.999, 0.999, 0.827], [0.307, 0.614, 0.645]]
}

=====

5.
{
  "formula": "PmMnO3",
  "functional": "PBE with a Hubbard U",
  "state": "optimized geometry",
  "crystal_system": "monoclinic",
  "final_energy_ev_per_atom": -7.78,
  "cell": [[-2.584, -2.905, -0.695], [5.552, -1.893, -1.511], [-1.791, -0.091, 7.043]],
  "species": ["O", "Pm", "Pm", "O", "O", "O", "Mn", "O", "O", "Mn"],
  "frac_coords": [[0.745, 0.489, 0.833], [0.100, 0.199, 0.820], [0.900, 0.801, 0.180], [0.522, 0.045, 0.251], [0.255, 0.511, 0.167], [0.849, 0.698, 0.471], [0.665, 0.331, 0.529], [0.478, 0.955, 0.749], [0.151, 0.302, 0.529], [0.335, 0.669, 0.471]]
}

=====

6.
{
  "formula": "Pm3MnO6",
  "functional": "PBE with a Hubbard U",
  "state": "optimized geometry",
  "crystal_system": "monoclinic",
  "final_energy_ev_per_atom": -7.90,
  "cell": [[-4.751, -1.249, 2.757], [2.356, -5.104, 1.746], [3.282, 3.787, 6.639]],
  "species": ["Pm", "O", "O", "O", "O", "Pm", "Pm", "Pm", "Mn", "O", "O", "O", "O", "Pm", "O", "O", "Mn", "Pm", "O", "O"],
  "frac_coords": [[0.026, 0.559, 0.247], [0.279, 0.815, 0.067], [0.679, 0.215, 0.573], [0.179, 0.285, 0.073], [0.867, 0.943, 0.231], [0.974, 0.441, 0.753], [0.000, 0.000, 0.500], [0.500, 0.500, 0.000], [0.000, 0.000, 0.000], [0.321, 0.785, 0.427], [0.721, 0.185, 0.933], [0.779, 0.685, 0.567], [0.221, 0.315, 0.433], [0.474, 0.059, 0.253], [0.133, 0.057, 0.769], [0.633, 0.443, 0.269], [0.500, 0.500, 0.500], [0.526, 0.941, 0.747], [0.821, 0.715, 0.927], [0.367, 0.557, 0.731]]
}

=====

7.
{
  "formula": "Pm2MnO6",
  "functional": "PBE with a Hubbard U",
  "state": "optimized geometry",
  "crystal_system": "monoclinic",
  "final_energy_ev_per_atom": -7.40,
  "cell": [[5.350, 0.000, -0.584], [0.000, 6.232, 0.000], [-0.185, 0.000, 7.236]],
  "species": ["O", "O", "Pm", "O", "Mn", "O", "O", "Pm", "O", "O", "O", "O", "Pm", "Mn", "O", "Pm", "O", "O"],
  "frac_coords": [[0.366, 0.774, 0.061], [0.635, 0.460, 0.252], [0.547, 0.896, 0.752], [0.203, 0.355, 0.050], [0.000, 0.000, 0.500], [0.866, 0.726, 0.561], [0.135, 0.040, 0.752], [0.453, 0.104, 0.248], [0.634, 0.226, 0.939], [0.297, 0.855, 0.450], [0.865, 0.960, 0.248], [0.134, 0.274, 0.439], [0.047, 0.604, 0.252], [0.500, 0.500, 0.000], [0.703, 0.145, 0.550], [0.953, 0.396, 0.748], [0.365, 0.540, 0.748], [0.797, 0.645, 0.950]]
}

=====

8.
{
  "formula": "PmMnO3",
  "functional": "PBE with a Hubbard U",
  "state": "optimized geometry",
  "crystal_system": "monoclinic",
  "final_energy_ev_per_atom": -7.87,
  "cell": [[5.444, 0.000, 0.000], [0.000, 6.037, -0.045], [0.000, -0.983, 7.727]],
  "species": ["Mn", "O", "O", "O", "O", "O", "O", "O", "O", "Pm", "Pm", "O", "O", "Mn", "Mn", "O", "Pm", "Pm", "Mn", "O"],
  "frac_coords": [[0.767, 0.093, 0.935], [0.023, 0.953, 0.325], [0.185, 0.600, 0.614], [0.685, 0.400, 0.886], [0.429, 0.203, 0.549], [0.315, 0.600, 0.114], [0.977, 0.047, 0.675], [0.071, 0.203, 0.049], [0.477, 0.953, 0.825], [0.271, 0.347, 0.830], [0.771, 0.653, 0.670], [0.929, 0.797, 0.951], [0.571, 0.797, 0.451], [0.233, 0.907, 0.065], [0.267, 0.907, 0.565], [0.523, 0.047, 0.175], [0.229, 0.347, 0.330], [0.729, 0.653, 0.170], [0.733, 0.093, 0.435], [0.815, 0.400, 0.386]]
}

=====

9.
{
  "formula": "PmMn2O5",
  "functional": "PBE with a Hubbard U",
  "state": "optimized geometry",
  "crystal_system": "orthorhombic",
  "final_energy_ev_per_atom": -7.64,
  "cell": [[4.171, 0.000, 0.000], [-2.085, 4.612, 0.000], [0.000, 0.000, 9.576]],
  "species": ["Mn", "O", "Pm", "O", "O", "Mn", "O", "O", "Mn", "O", "O", "O", "O", "Pm", "Mn", "O"],
  "frac_coords": [[0.150, 0.300, 0.949], [0.045, 0.090, 0.121], [0.532, 0.063, 0.250], [0.657, 0.315, 0.535], [0.045, 0.090, 0.379], [0.850, 0.700, 0.051], [0.343, 0.685, 0.465], [0.343, 0.685, 0.035], [0.850, 0.700, 0.449], [0.955, 0.910, 0.621], [0.219, 0.438, 0.750], [0.781, 0.562, 0.250], [0.955, 0.910, 0.879], [0.468, 0.937, 0.750], [0.150, 0.300, 0.551], [0.657, 0.315, 0.965]]
}

=====

10.
{
  "formula": "Pm6MnO12",
  "functional": "PBE with a Hubbard U",
  "state": "optimized geometry",
  "crystal_system": "trigonal",
  "final_energy_ev_per_atom": -7.88,
  "cell": [[-1.734, 0.778, 6.360], [-4.578, -4.474, -1.756], [5.148, -4.103, 0.852]],
  "species": ["O", "O", "O", "O", "O", "Pm", "Pm", "O", "Pm", "Pm", "O", "Pm", "Pm", "O", "O", "Mn", "O", "O", "O"],
  "frac_coords": [[0.446, 0.177, 0.590], [0.823, 0.410, 0.554], [0.040, 0.938, 0.707], [0.960, 0.062, 0.293], [0.554, 0.823, 0.410], [0.390, 0.862, 0.711], [0.711, 0.390, 0.862], [0.062, 0.293, 0.960], [0.289, 0.610, 0.138], [0.862, 0.711, 0.390], [0.590, 0.446, 0.177], [0.138, 0.289, 0.610], [0.610, 0.138, 0.289], [0.707, 0.040, 0.938], [0.410, 0.554, 0.823], [0.000, 0.000, 0.000], [0.177, 0.590, 0.446], [0.293, 0.960, 0.062], [0.938, 0.707, 0.040]]
}

=====

11.
{
  "formula": "PmMnPtO6",
  "functional": "PBE with a Hubbard U",
  "state": "optimized geometry",
  "crystal_system": "trigonal",
  "final_energy_ev_per_atom": -6.65,
  "cell": [[-4.594, 2.746, -1.168], [0.259, -3.117, 4.497], [2.855, 6.674, 4.462]],
  "species": ["O", "O", "Pt", "O", "O", "O", "O", "Mn", "Pm", "Pm", "O", "Mn", "O", "O", "O", "O", "Pt", "O"],
  "frac_coords": [[0.350, 0.307, 0.383], [0.693, 0.650, 0.117], [0.667, 0.333, 0.250], [0.650, 0.957, 0.883], [0.350, 0.043, 0.117], [0.650, 0.693, 0.617], [0.307, 0.350, 0.883], [0.000, 0.000, 0.500], [0.667, 0.333, 0.750], [0.333, 0.667, 0.250], [0.957, 0.650, 0.383], [0.000, 0.000, 0.000], [0.043, 0.693, 0.883], [0.693, 0.043, 0.383], [0.307, 0.957, 0.617], [0.043, 0.350, 0.617], [0.333, 0.667, 0.750], [0.957, 0.307, 0.117]]
}

=====

12.
{
  "formula": "Pm2MnPtO6",
  "functional": "PBE with a Hubbard U",
  "state": "optimized geometry",
  "crystal_system": "monoclinic",
  "final_energy_ev_per_atom": -7.47,
  "cell": [[5.048, 0.000, 0.080], [0.000, 5.285, 0.000], [-1.987, -2.643, 4.808]],
  "species": ["Pm", "O", "O", "O", "O", "O", "Pm", "O", "Pt", "Mn"],
  "frac_coords": [[0.778, 0.763, 0.527], [0.175, 0.164, 0.833], [0.175, 0.669, 0.833], [0.710, 0.318, 0.636], [0.825, 0.331, 0.167], [0.290, 0.682, 0.364], [0.222, 0.237, 0.473], [0.825, 0.836, 0.167], [0.500, 0.000, 0.000], [0.000, 0.500, 0.000]]
}